(1)
First-principles (GGA-PBE) data for an optimized crystal structure of K2DyThSe4, as listed in Alexandria via LeMat-Bulk.

Output
E_form (uncorrected) (eV/atom): -1.643
Density of states at the Fermi level (states/eV/atom): 0.522

a b c (Å): 7.3333 4.2223 8.1301
angles (deg): 90.00 107.31 90.00
Fractional coordinates of all 8 atoms:
K1 0.0000 0.0000 0.0000
K2 0.5000 0.5000 0.0000
Dy1 0.0000 0.5000 0.5000
Th1 0.5000 0.0000 0.5000
Se1 0.2327 0.0000 0.7087
Se2 0.2564 0.5000 0.2856
Se3 0.7436 0.5000 0.7144
Se4 0.7673 0.0000 0.2913

(2)
First-principles (GGA-PBE) data for an optimized crystal structure of K4Dy3TiSe8, as listed in Alexandria via LeMat-Bulk.

Output
E_form (uncorrected) (eV/atom): -1.591
Density of states at the Fermi level (states/eV/atom): 0.352

a b c (Å): 9.0297 9.0297 9.0297
angles (deg): 54.47 54.47 54.47
Fractional coordinates of all 16 atoms:
K1 0.0000 0.0000 0.0000
K2 0.0000 0.5000 0.5000
K3 0.5000 0.0000 0.5000
K4 0.5000 0.5000 0.0000
Dy1 0.0000 0.0000 0.5000
Dy2 0.0000 0.5000 0.0000
Dy3 0.5000 0.0000 0.0000
Ti1 0.5000 0.5000 0.5000
Se1 0.2359 0.2359 0.2359
Se2 0.2502 0.7243 0.7243
Se3 0.2757 0.2757 0.7498
Se4 0.2757 0.7498 0.2757
Se5 0.7243 0.2502 0.7243
Se6 0.7243 0.7243 0.2502
Se7 0.7498 0.2757 0.2757
Se8 0.7641 0.7641 0.7641

(3)
First-principles (GGA-PBE) data for an optimized crystal structure of K2Dy2TiSe6, as listed in Alexandria via LeMat-Bulk.

Output
E_form (uncorrected) (eV/atom): -1.545

a b c (Å): 6.9371 6.9371 8.2146
angles (deg): 98.58 98.58 119.44
Fractional coordinates of all 11 atoms:
K1 0.1722 0.8278 0.0000
K2 0.8278 0.1722 0.0000
Dy1 0.3327 0.6673 0.5000
Dy2 0.6673 0.3327 0.5000
Ti1 0.0000 0.0000 0.5000
Se1 0.0703 0.3769 0.6965
Se2 0.2381 0.2381 0.3062
Se3 0.3769 0.0703 0.6965
Se4 0.6231 0.9297 0.3035
Se5 0.7619 0.7619 0.6938
Se6 0.9297 0.6231 0.3035

(4)
First-principles (GGA-PBE) data for an optimized crystal structure of K3DyTm3Se8, as listed in Alexandria via LeMat-Bulk.

Output
E_form (uncorrected) (eV/atom): -1.675
Density of states at the Fermi level (states/eV/atom): 0.527

a b c (Å): 8.2161 8.2161 9.1760
angles (deg): 116.62 116.62 59.96
Fractional coordinates of all 15 atoms:
K1 0.0000 0.0000 0.0000
K2 0.0000 0.5000 0.0000
K3 0.5000 0.0000 0.0000
Dy1 0.0000 0.0000 0.5000
Tm1 0.0000 0.5000 0.5000
Tm2 0.5000 0.0000 0.5000
Tm3 0.5000 0.5000 0.5000
Se1 0.2360 0.2360 0.7017
Se2 0.2360 0.7298 0.7017
Se3 0.2658 0.2658 0.2974
Se4 0.2702 0.7640 0.2983
Se5 0.7298 0.2360 0.7017
Se6 0.7342 0.7342 0.7026
Se7 0.7640 0.2702 0.2983
Se8 0.7640 0.7640 0.2983

Short version: density = 5.45 4.85 4.67 5.13 g cm⁻³, in the order given.